Computed, not measured: Pm2MoRu3 after structural relaxation at the GGA-PBE level of DFT.

abc: 5.6968 5.6968 8.1102
angles: 90.00 90.00 120.00
Closest atoms and distances in Å follow each position.
Positions (direct):
Ru 0.8311 0.6622 0.7500  2 Mo 2.62, 4 Ru 2.81-2.89
Ru 0.6622 0.8311 0.2500  2 Mo 2.62, 4 Ru 2.81-2.89
Ru 0.3378 0.1689 0.7500  2 Mo 2.62, 4 Ru 2.81-2.89
Ru 0.1689 0.8311 0.2500  2 Mo 2.62, 4 Ru 2.81-2.89
Ru 0.1689 0.3378 0.2500  2 Mo 2.62, 4 Ru 2.81-2.89
Ru 0.8311 0.1689 0.7500  2 Mo 2.62, 4 Ru 2.81-2.89
Pm 0.3333 0.6667 0.9383  9 Ru 3.00-3.23, 1 Pm 3.05, 3 Mo 3.33
Pm 0.3333 0.6667 0.5617  9 Ru 3.00-3.23, 1 Pm 3.05, 3 Mo 3.33
Pm 0.6667 0.3333 0.4383  9 Ru 3.00-3.23, 1 Pm 3.05, 3 Mo 3.33
Pm 0.6667 0.3333 0.0617  9 Ru 3.00-3.23, 1 Pm 3.05, 3 Mo 3.33
Mo 0.0000 0.0000 0.5000  6 Ru 2.62
Mo 0.0000 0.0000 0.0000  6 Ru 2.62

DOS at the Fermi energy (states/eV/f.u.): 5.6
Space group: P6_3/mmc, No. 194
Energy of formation from the pure elements (meV per atom): -172
Mass density (g/cm3): 10.0
Total DFT energy (no corrections) (eV/atom): -8.199